DFT (PBE) results for a relaxed Sm2Dy3Sc3 crystal.

POSCAR file:
```
Sm2Dy3Sc3
1.0
3.0688 1.7718 7.5591
-3.0688 1.7718 7.5591
0.0000 -3.5436 7.5591
Sm Dy Sc
2 3 3
Cartesian
0.0000 0.0000 4.7328
0.0000 0.0000 17.9444
0.0000 0.0000 1.6213
0.0000 0.0000 11.3386
0.0000 0.0000 21.0559
-1.5344 -0.8859 7.5591
-1.5344 0.8859 15.1181
0.0000 1.7718 7.5591
```

Results
ΔH_f (0 K) = 26 kJ/mol of atoms
Size of the total moment = 0.0 Bohr magnetons per cell
Excess energy over the best structure of this formula in the dataset = 232 meV per atom
DFT total energy = -40.1 eV/cell